Entry 1:
# TbPaGa2, optimized geometry, DFT PBE
# crystal system	tetragonal
# offset from the most stable computed form	0	meV per atom
# volume	89	Å³ per cell
# VASP energy	-5.434	eV/atom
# formation energy	-0.3892	eV per atom
data_TbPaGa2
_cell_length_a 3.289
_cell_length_b 3.289
_cell_length_c 8.204
_cell_angle_alpha 90.00
_cell_angle_beta 90.00
_cell_angle_gamma 90.00
_symmetry_space_group_name_H-M 'P 4/m m m'
_symmetry_Int_Tables_number 123
_symmetry_space_group_name_Hall '-P 4 2'
loop_
_atom_site_label
_atom_site_type_symbol
_atom_site_fract_x
_atom_site_fract_y
_atom_site_fract_z
_atom_site_occupancy
Tb1 Tb 0.000 0.000 0.000 1
Pa1 Pa 0.000 0.000 0.500 1
Ga1 Ga 0.500 0.500 0.250 1

Entry 2:
# Rb2SnCl2F4, optimized geometry, DFT PBE
# crystal system	tetragonal
# E_form (uncorrected)	-2.308	eV per atom
# volume	421	Å³ per cell
# VASP energy	-4.209	eV/atom
data_Rb2SnCl2F4
_cell_length_a 6.917
_cell_length_b 6.917
_cell_length_c 8.805
_cell_angle_alpha 90.00
_cell_angle_beta 90.00
_cell_angle_gamma 90.00
_symmetry_space_group_name_H-M 'I 4/m m m'
_symmetry_Int_Tables_number 139
_symmetry_space_group_name_Hall '-I 4 2'
loop_
_atom_site_label
_atom_site_type_symbol
_atom_site_fract_x
_atom_site_fract_y
_atom_site_fract_z
_atom_site_occupancy
Rb1 Rb 0.000 0.500 0.250 1
Sn1 Sn 0.000 0.000 0.000 1
Cl1 Cl 0.000 0.000 0.276 1
F1 F 0.206 0.206 0.000 1

Entry 3:
# Dy3NpS6, optimized geometry, DFT PBE
# crystal system	monoclinic
# E_form (uncorrected)	-1.896	eV per atom
# volume	467	Å³ per cell
# VASP energy	-7.047	eV/atom
data_Dy3NpS6
_cell_length_a 11.055
_cell_length_b 3.953
_cell_length_c 11.261
_cell_angle_alpha 90.00
_cell_angle_beta 108.55
_cell_angle_gamma 90.00
_symmetry_space_group_name_H-M 'P 1 21/m 1'
_symmetry_Int_Tables_number 11
loop_
_symmetry_equiv_pos_as_xyz
'x,y,z'
'-x,-y,-z'
'-x,y+1/2,-z'
'x,-y+1/2,z'
loop_
_atom_site_label
_atom_site_type_symbol
_atom_site_fract_x
_atom_site_fract_y
_atom_site_fract_z
_atom_site_occupancy
Dy1 Dy 0.067 0.250 0.167 1
Dy2 Dy 0.180 0.750 0.503 1
Dy3 Dy 0.341 0.250 0.917 1
Np1 Np 0.453 0.250 0.310 1
S1 S 0.022 0.250 0.387 1
S2 S 0.102 0.250 0.936 1
S3 S 0.244 0.750 0.276 1
S4 S 0.308 0.750 0.750 1
S5 S 0.387 0.250 0.539 1
S6 S 0.418 0.750 0.100 1